Record 1
# Hf2Sn2Au

A relaxed Hf2Sn2Au crystal (GGA-PBE, the Alexandria database).

The value obtained for the energy relative to the lowest polymorph listed for this composition is 0.00 eV/f.u. The value obtained for the formation energy is -0.1533 eV per atom. The value obtained for the total DFT energy (no corrections) is -6.391 eV per atom. The value obtained for the total moment is 0.000 μB/atom.

The space group is P4/mbm (No. 127) and the conventional cell measures 7.325, 7.325 and 4.296 Å, with angles of 90.00, 90.00 and 90.00 degrees. The inequivalent atoms are Hf at (0.146, 0.354, 0.000), Sn at (0.160, 0.660, 0.500) and Au at (0.000, 0.000, 0.000).

Record 2
# HfSnAu3

A relaxed HfSnAu3 crystal (GGA-PBE, the Alexandria database).

The value obtained for the energy relative to the lowest polymorph listed for this composition is 0.00 eV/f.u. The value obtained for the formation energy is 0.5191 eV per atom. The value obtained for the total DFT energy (no corrections) is -4.239 eV per atom. The value obtained for the total moment is 0.000 μB/atom.

The space group is Pm-3m (No. 221) and the conventional cell measures 5.207, 5.207 and 5.207 Å, with angles of 90.00, 90.00 and 90.00 degrees. The inequivalent atoms are Hf at (0.000, 0.000, 0.000), Sn at (0.500, 0.500, 0.500) and Au at (0.000, 0.000, 0.500).

Record 3
# Hf5SnAu2

A relaxed Hf5SnAu2 crystal (GGA-PBE, the Alexandria database).

The value obtained for the formation energy is -0.3316 eV per atom. The value obtained for the total DFT energy (no corrections) is -7.872 eV per atom. The value obtained for the total moment is 0.000 μB/atom.

The space group is I4/mcm (No. 140) and the conventional cell measures 7.197, 7.197 and 13.084 Å, with angles of 90.00, 90.00 and 90.00 degrees. The inequivalent atoms are Hf at (0.000, 0.000, 0.000), Hf at (0.153, 0.347, 0.157), Sn at (0.000, 0.000, 0.250) and Au at (0.138, 0.362, 0.500).

Record 4
# HfSn3Au

A relaxed HfSn3Au crystal (GGA-PBE, the Alexandria database).

The value obtained for the energy relative to the lowest polymorph listed for this composition is 0.00 eV/f.u. The value obtained for the formation energy is 0.5779 eV per atom. The value obtained for the total DFT energy (no corrections) is -4.470 eV per atom. The value obtained for the total moment is 0.000 μB/atom.

The space group is Pm-3m (No. 221) and the conventional cell measures 5.522, 5.522 and 5.522 Å, with angles of 90.00, 90.00 and 90.00 degrees. The inequivalent atoms are Hf at (0.000, 0.000, 0.000), Sn at (0.000, 0.000, 0.500) and Au at (0.500, 0.500, 0.500).

Record 5
# HfSnAu2

A relaxed HfSnAu2 crystal (GGA-PBE, the Alexandria database).

The value obtained for the formation energy is -0.2405 eV per atom. The value obtained for the total DFT energy (no corrections) is -5.368 eV per atom. The value obtained for the total moment is 0.000 μB/atom.

The space group is R-3m (No. 166, hexagonal axes) and the conventional cell measures 3.6071, 3.6071 and 24.0839 Å, with angles of 90.00, 90.00 and 120.00 degrees. The inequivalent atoms are Hf at (0.0000, 0.0000, 0.0000), Sn at (0.0000, 0.0000, 0.5000) and Au at (0.0000, 0.0000, 0.2569).

Record 6
# HfSnAu3

A relaxed HfSnAu3 crystal (GGA-PBE, the Alexandria database).

The value obtained for the energy relative to the lowest polymorph listed for this composition is 1.21 eV/f.u. The value obtained for the formation energy is 0.7617 eV per atom. The value obtained for the total DFT energy (no corrections) is -3.996 eV per atom. The value obtained for the total moment is 0.224 μB/atom.

The space group is Pm-3m (No. 221) and the conventional cell measures 5.052, 5.052 and 5.052 Å, with angles of 90.00, 90.00 and 90.00 degrees. The inequivalent atoms are Hf at (0.000, 0.000, 0.000), Sn at (0.500, 0.500, 0.500) and Au at (0.000, 0.500, 0.500).

Record 7
# Hf4Sn2Au

A relaxed Hf4Sn2Au crystal (GGA-PBE, the Alexandria database).

The value obtained for the energy relative to the lowest polymorph listed for this composition is 0.00 eV/f.u. The value obtained for the formation energy is -0.1527 eV per atom. The value obtained for the total DFT energy (no corrections) is -7.452 eV per atom. The value obtained for the total moment is 0.000 μB/atom.

The space group is C2/m (No. 12) and the conventional cell measures 14.847, 3.235 and 7.541 Å, with angles of 90.00, 119.39 and 90.00 degrees. The inequivalent atoms are Hf at (0.083, 0.000, 0.218), Hf at (0.116, 0.500, 0.888), Sn at (0.219, 0.000, 0.684) and Au at (0.000, 0.000, 0.500).

Record 8
# Hf2SnAu

A relaxed Hf2SnAu crystal (GGA-PBE, the Alexandria database).

The value obtained for the formation energy is -0.0963 eV per atom. The value obtained for the total DFT energy (no corrections) is -6.893 eV per atom. The value obtained for the total moment is 0.000 μB/atom.

The space group is I-42d (No. 122) and the conventional cell measures 7.737, 7.737 and 6.020 Å, with angles of 90.00, 90.00 and 90.00 degrees. The inequivalent atoms are Hf at (0.230, 0.250, 0.125), Sn at (0.000, 0.000, 0.500) and Au at (0.000, 0.000, 0.000).